1.
# Fe3SbS, optimized geometry, DFT PBE
# DFT total energy ... -0.1969 hartree per atom
# Total magnetic moment ... 10.9 μB/f.u.
# N(E_F) ... 9.52 states/eV per cell
# Theoretical density ... 4.5 g cm⁻³
# Energy above the most stable polymorph in this dataset ... 1125 meV per atom
data_Fe3SbS
_cell_length_a 4.905
_cell_length_b 4.905
_cell_length_c 4.905
_cell_angle_alpha 90.00
_cell_angle_beta 90.00
_cell_angle_gamma 90.00
_space_group_name_H-M_alt 'P m -3 m'
_space_group_IT_number 221
_space_group_name_Hall '-P 4 2 3'
loop_
_atom_site_label
_atom_site_fract_x
_atom_site_fract_y
_atom_site_fract_z
Fe1 0.000 0.000 0.500
Sb1 0.000 0.000 0.000
S1 0.500 0.500 0.500

2.
# FeSbSe2S, optimized geometry, DFT PBE
# DFT total energy ... -0.1679 hartree per atom
# Total magnetic moment ... 1.9 μB/f.u.
# N(E_F) ... 5.08 states/eV per cell
# Theoretical density ... 5.9 g cm⁻³
data_FeSbSe2S
_cell_length_a 4.970
_cell_length_b 4.970
_cell_length_c 4.182
_cell_angle_alpha 90.00
_cell_angle_beta 90.00
_cell_angle_gamma 90.00
_space_group_name_H-M_alt 'P 4/m m m'
_space_group_IT_number 123
_space_group_name_Hall '-P 4 2'
loop_
_atom_site_label
_atom_site_fract_x
_atom_site_fract_y
_atom_site_fract_z
Fe1 0.000 0.000 0.000
Sb1 0.500 0.500 0.500
Se1 0.000 0.500 0.000
S1 0.000 0.000 0.500

3.
# SrFeSb2S, optimized geometry, DFT PBE
# DFT total energy ... -0.1229 hartree per atom
# Total magnetic moment ... 3.1 μB/f.u.
# N(E_F) ... 10.30 states/eV per cell
# Theoretical density ... 3.6 g cm⁻³
data_SrFeSb2S
_cell_length_a 6.040
_cell_length_b 6.040
_cell_length_c 5.302
_cell_angle_alpha 90.00
_cell_angle_beta 90.00
_cell_angle_gamma 90.00
_space_group_name_H-M_alt 'P 4/m m m'
_space_group_IT_number 123
_space_group_name_Hall '-P 4 2'
loop_
_atom_site_label
_atom_site_fract_x
_atom_site_fract_y
_atom_site_fract_z
Sr1 0.000 0.000 0.000
Fe1 0.500 0.500 0.500
Sb1 0.000 0.500 0.000
S1 0.000 0.000 0.500

4.
# FeTcSb2S, optimized geometry, DFT PBE
# DFT total energy ... -0.2012 hartree per atom
# Total magnetic moment ... 4.1 μB/f.u.
# N(E_F) ... 4.87 states/eV per cell
# Theoretical density ... 5.8 g cm⁻³
data_FeTcSb2S
_cell_length_a 5.054
_cell_length_b 5.054
_cell_length_c 4.810
_cell_angle_alpha 90.00
_cell_angle_beta 90.00
_cell_angle_gamma 90.00
_space_group_name_H-M_alt 'P 4/m m m'
_space_group_IT_number 123
_space_group_name_Hall '-P 4 2'
loop_
_atom_site_label
_atom_site_fract_x
_atom_site_fract_y
_atom_site_fract_z
Fe1 0.000 0.000 0.000
Tc1 0.000 0.000 0.500
Sb1 0.000 0.500 0.500
S1 0.500 0.500 0.000